Here is a geometry-optimized ZnSbPd6 structure from Alexandria via LeMat-Bulk. Energies are from PBE.

Cell and atoms, written as extended XYZ:
```
8
Lattice="6.951 0.082 0.047 3.515 6.217 0.659 3.489 2.472 3.374" Properties=species:S:1:pos:R:3 pbc="T T T"
Zn 6.977 4.386 2.040
Sb 0.000 0.000 0.000
Pd 11.187 5.099 3.077
Pd 11.287 8.052 3.201
Pd 5.309 2.587 1.539
Pd 2.667 0.719 0.879
Pd 2.767 3.673 1.004
Pd 8.645 6.184 2.541
```

Summary:
Uncorrected formation energy in eV/atom: -0.252
Symmetry: No. 2
ΔE to the lowest computed polymorph in meV per atom: 123
Volume in Å³ per cell: 133
Uncorrected energy in eV per atom: -4.8209